Entry 1:
AcBHPt6: relaxed, PBE.

Computed properties:
Uncorrected energy, eV/atom: -6.060

Cell lengths 7.5016, 7.5445, 10.7259 Å; angles 90.00, 90.00, 90.00 degrees
Space group Imma (No. 74)
Inequivalent atoms, fractional coordinates:
Ac 0.0000 0.2500 0.1395 [4 per cell]
B 0.2500 0.2500 0.7500 [4 per cell]
H 0.0000 0.0000 0.5000 [4 per cell]
Pt 0.0000 0.2500 0.4402 [4 per cell]
Pt 0.0000 0.2500 0.8461 [4 per cell]
Pt 0.2004 0.0398 0.6249 [16 per cell]

=====

Entry 2:
Ac2BHPt6: relaxed, PBE.

Computed properties:
Uncorrected energy, eV/atom: -6.097

Cell lengths 9.9118, 6.8604, 5.9762 Å; angles 90.00, 117.80, 90.00 degrees
Space group C2/m (No. 12)
Inequivalent atoms, fractional coordinates:
Ac 0.2363 0.0000 0.1908 [4 per cell]
B 0.0000 0.5000 0.0000 [2 per cell]
H 0.0000 0.0000 0.5000 [2 per cell]
Pt 0.0250 0.2823 0.2726 [8 per cell]
Pt 0.2018 0.0000 0.6682 [4 per cell]

=====

Entry 3:
AcB2H2Pt6: relaxed, PBE.

Computed properties:
Uncorrected energy, eV/atom: -5.992

Cell lengths 5.7594, 5.8228, 6.2178 Å; angles 88.38, 63.01, 60.43 degrees
Space group P-1 (No. 2)
Inequivalent atoms, fractional coordinates:
Ac 0.0000 0.0000 0.0000 [1 per cell]
B 0.3345 0.3344 0.9974 [2 per cell]
H 0.1149 0.1829 0.5799 [2 per cell]
Pt 0.1702 0.4316 0.7305 [2 per cell]
Pt 0.3365 0.0686 0.2629 [2 per cell]
Pt 0.3373 0.5680 0.2707 [2 per cell]

=====

Density of states at the Fermi level across the listed records, respectively: 13.54; 6.05; 3.05 states/eV/cell.